1.
Sm3Cd2BRh3 | PBE | optimized geometry

Structure (POSCAR):
```
Sm3Cd2BRh3
1.0
7.7159 0.0000 0.0000
-3.8580 6.6822 0.0000
0.0000 0.0000 3.5537
Sm Cd B Rh
3 2 1 3
direct
0.0000 0.6502 0.0000
0.3498 0.3498 0.0000
0.6502 0.0000 0.0000
0.3333 0.6667 0.5000
0.6667 0.3333 0.5000
0.0000 0.0000 0.0000
0.0000 0.2074 0.5000
0.2074 0.0000 0.5000
0.7926 0.7926 0.5000
```

* Fermi-level density of states: 5.44 states/eV per cell
* formation energy from the elements: -0.403 eV/atom

2.
AgCCl2 | PBE | optimized geometry

Structure (POSCAR):
```
AgCCl2
1.0
-2.6254 2.6254 6.5655
2.6254 -2.6254 6.5655
2.6254 2.6254 -6.5655
Ag C Cl
2 2 4
direct
0.0000 0.0000 0.0000
0.7500 0.2500 0.5000
0.2500 0.7500 0.5000
0.5000 0.5000 0.0000
0.1823 0.6250 0.0573
0.3750 0.4323 0.5573
0.5677 0.1250 0.9427
0.8750 0.8177 0.4427
```

* Fermi-level density of states: 0.00 states/eV per cell
* raw formation energy: 4.80 eV per formula unit
* relative energy among the computed polymorphs: 0 meV/atom

3.
Na5B7C3 | PBE | optimized geometry

Structure (POSCAR):
```
Na5B7C3
1.0
11.4816 -1.4211 0.0000
11.4816 1.4211 0.0000
-2.9335 0.0000 9.5306
Na B C
10 14 6
direct
0.0000 0.0000 0.0000
0.1012 0.1012 0.6960
0.1991 0.1991 0.4021
0.3010 0.3010 0.1003
0.3993 0.3993 0.8012
0.4999 0.4999 0.4941
0.5999 0.5999 0.2001
0.7012 0.7012 0.9002
0.8003 0.8003 0.5998
0.8997 0.8997 0.2986
0.0133 0.0133 0.2753
0.1218 0.1218 0.9938
0.1886 0.1886 0.1265
0.2235 0.2235 0.6959
0.3183 0.3183 0.3852
0.3851 0.3851 0.5187
0.4163 0.4163 0.0820
0.5174 0.5174 0.7825
0.5817 0.5817 0.9120
0.6108 0.6108 0.4700
0.6828 0.6828 0.6140
0.7801 0.7801 0.3096
0.8194 0.8194 0.8888
0.9759 0.9759 0.6999
0.0790 0.0790 0.4057
0.2870 0.2870 0.8239
0.4813 0.4813 0.2122
0.7183 0.7183 0.1858
0.8843 0.8843 0.0179
0.9159 0.9159 0.5803
```

* Fermi-level density of states: 8.14 states/eV per cell
* formation energy from the elements: 0.128 eV/atom
* relative energy among the computed polymorphs: 15 meV/atom

4.
Hf5TiSn4 | PBE | optimized geometry

Structure (POSCAR):
```
Hf5TiSn4
1.0
7.8131 -1.6424 0.0000
7.8131 1.6424 0.0000
-0.3604 0.0000 8.9860
Hf Ti Sn
5 1 4
direct
0.0000 0.0000 0.0000
0.3103 0.3103 0.9053
0.3371 0.3371 0.2543
0.6629 0.6629 0.7457
0.6897 0.6897 0.0947
0.0000 0.0000 0.5000
0.1756 0.1756 0.4281
0.4753 0.4753 0.7397
0.5247 0.5247 0.2603
0.8244 0.8244 0.5719
```

* Fermi-level density of states: 8.31 states/eV per cell
* formation energy from the elements: -0.002 eV/atom

5.
LaY2ErTm | PBE | optimized geometry

Structure (POSCAR):
```
LaY2ErTm
1.0
4.2164 -5.7490 0.0000
4.2164 5.7490 0.0000
0.0000 0.0000 7.2504
La Y Er Tm
2 4 2 2
direct
0.2354 0.7646 0.7500
0.7646 0.2354 0.2500
0.1916 0.1916 0.0000
0.1916 0.1916 0.5000
0.8084 0.8084 0.0000
0.8084 0.8084 0.5000
0.4964 0.5036 0.2500
0.5036 0.4964 0.7500
0.2189 0.7811 0.2500
0.7811 0.2189 0.7500
```

* Fermi-level density of states: 13.91 states/eV per cell
* formation energy from the elements: 0.366 eV/atom

6.
KMn2Ni | PBE | optimized geometry

Structure (POSCAR):
```
KMn2Ni
1.0
3.0516 0.0000 0.0000
0.0000 3.0516 0.0000
0.0000 0.0000 8.7184
K Mn Ni
1 2 1
direct
0.0000 0.0000 0.0000
0.5000 0.5000 0.3435
0.5000 0.5000 0.6565
0.0000 0.0000 0.5000
```

* Fermi-level density of states: 2.20 states/eV per cell
* formation energy from the elements: 0.567 eV/atom
* relative energy among the computed polymorphs: 0 meV/atom

7.
MgSb2TePb | PBE | optimized geometry

Structure (POSCAR):
```
MgSb2TePb
1.0
5.3601 0.0000 0.0000
0.0000 5.3601 0.0000
0.0000 0.0000 5.6438
Mg Sb Te Pb
1 2 1 1
direct
0.0000 0.0000 0.0000
0.0000 0.5000 0.0000
0.5000 0.0000 0.0000
0.0000 0.0000 0.5000
0.5000 0.5000 0.5000
```

* Fermi-level density of states: 4.02 states/eV per cell
* raw formation energy: 1.49 eV per formula unit
* relative energy among the computed polymorphs: 0 meV/atom

8.
ThTeAu4 | PBE | optimized geometry

Structure (POSCAR):
```
ThTeAu4
1.0
0.0000 4.0385 4.0385
4.0385 0.0000 4.0385
4.0385 4.0385 0.0000
Th Te Au
1 1 4
direct
0.0000 0.0000 0.0000
0.2500 0.2500 0.2500
0.1247 0.6251 0.6251
0.6251 0.1247 0.6251
0.6251 0.6251 0.1247
0.6251 0.6251 0.6251
```

* Fermi-level density of states: 3.33 states/eV per cell
* raw formation energy: -2.24 eV per formula unit

9.
Pm3SmAl | PBE | optimized geometry

Structure (POSCAR):
```
Pm3SmAl
1.0
3.7533 0.0000 0.0000
0.0009 8.7324 0.0000
1.8740 2.3332 9.4400
Pm Sm Al
6 2 2
direct
0.0014 0.2899 0.4988
0.1844 0.3817 0.1304
0.1973 0.8164 0.1057
0.8027 0.1836 0.8943
0.8156 0.6183 0.8696
0.9986 0.7101 0.5012
0.4031 0.9554 0.6949
0.5969 0.0446 0.3051
0.4016 0.4387 0.6970
0.5984 0.5613 0.3030
```

* Fermi-level density of states: 11.49 states/eV per cell
* formation energy from the elements: -0.117 eV/atom
* relative energy among the computed polymorphs: 0 meV/atom

10.
TbPuTcAu | PBE | optimized geometry

Structure (POSCAR):
```
TbPuTcAu
1.0
0.0000 3.5084 3.5084
3.5084 0.0000 3.5084
3.5084 3.5084 0.0000
Tb Pu Tc Au
1 1 1 1
direct
0.0000 0.0000 0.0000
0.5000 0.5000 0.5000
0.7500 0.7500 0.7500
0.2500 0.2500 0.2500
```

* Fermi-level density of states: 8.38 states/eV per cell
* formation energy from the elements: -0.157 eV/atom

11.
MgGa2 | PBE | optimized geometry

Structure (POSCAR):
```
MgGa2
1.0
5.2302 -1.5766 0.0000
5.2302 1.5766 0.0000
-2.4095 0.0000 6.9821
Mg Ga
2 4
direct
0.0061 0.0061 0.2749
0.9939 0.9939 0.7251
0.3081 0.3081 0.3867
0.3407 0.3407 0.9350
0.6593 0.6593 0.0650
0.6919 0.6919 0.6133
```

* Fermi-level density of states: 0.91 states/eV per cell
* formation energy from the elements: -0.105 eV/atom

12.
LiAc2Pm3Se6 | PBE | optimized geometry

Structure (POSCAR):
```
LiAc2Pm3Se6
1.0
3.6785 -6.3929 0.0000
3.6785 6.3929 0.0000
-2.4794 0.0000 7.0558
Li Ac Pm Se
1 2 3 6
direct
0.0000 0.0000 0.0000
0.3346 0.6654 0.0000
0.6654 0.3346 0.0000
0.1682 0.8318 0.5000
0.5000 0.5000 0.5000
0.8318 0.1682 0.5000
0.0849 0.4035 0.2565
0.2315 0.2315 0.7434
0.4035 0.0849 0.2565
0.5965 0.9151 0.7435
0.7685 0.7685 0.2566
0.9151 0.5965 0.7435
```

* Fermi-level density of states: 5.37 states/eV per cell
* raw formation energy: -21.46 eV per formula unit

no.,density (Mg/m³)
1,9.02
2,3.50
3,2.42
4,10.19
5,6.17
6,4.25
7,6.17
8,14.47
9,6.57
10,13.42
11,4.72
12,6.85